A plane-wave DFT calculation with PBE+U was carried out for KVCrF6 after structural relaxation.

Results
Total moment in μB/f.u.: 6.00
Crystal system: monoclinic
Raw total energy in eV/atom: -5.82
SG: C2, No. 5

a = 5.467 Å, b = 5.467 Å, c = 5.690 Å
α = 90.07°, β = 90.07°, γ = 119.84°
Element x y z (fractional)
K 0.000 0.000 0.000
V 0.667 0.333 0.500
Cr 0.333 0.667 0.500
F 0.021 0.642 0.311
F 0.024 0.381 0.690
F 0.357 0.379 0.310
F 0.358 0.979 0.689
F 0.619 0.976 0.310
F 0.621 0.643 0.690